<one>
A plane-wave DFT calculation with PBE-GGA was carried out for an optimized crystal structure of La8NiAg2.

Values from the calculation:
total moment: 0.00 μB/cell

Unit cell a=19.0191 b=5.3843 c=7.0196 alpha=90.00 beta=110.68 gamma=90.00
Last column: nearest neighbours and their distance in Å.
Space group C2/m (No. 12)
One atom of each set of equivalent atoms:
1 La 0.0186 0.0000 0.3014 (multiplicity 4)  1 Ag 3.08, 2 Ni 3.11, 1 La 3.11
2 La 0.0878 0.5000 0.9480 (multiplicity 4)  1 Ni 2.99
3 La 0.1630 0.5000 0.5047 (multiplicity 4)  3 Ag 3.09-3.35, 1 Ni 3.09, 2 La 3.41
4 La 0.2038 0.0000 0.8230 (multiplicity 4)  1 Ag 3.13, 2 La 3.41
5 Ni 0.0000 0.5000 0.5000 (multiplicity 2)  8 La 2.99-3.11
6 Ag 0.1688 0.0000 0.2269 (multiplicity 4)  7 La 3.08-3.37

***

<two>
A plane-wave DFT calculation with PBE-GGA was carried out for an optimized crystal structure of La8NiAg2.

Values from the calculation:
total moment: 0.00 μB/cell

Unit cell a=16.2061 b=5.5450 c=8.9049 alpha=90.00 beta=121.00 gamma=90.00
Last column: nearest neighbours and their distance in Å.
Space group C2/m (No. 12)
One atom of each set of equivalent atoms:
1 La 0.0742 0.0000 0.2171 (multiplicity 4)  1 Ag 3.11, 3 La 3.34-3.40
2 La 0.0924 0.5000 0.9421 (multiplicity 4)  3 Ag 3.18-3.32, 1 Ni 3.42
3 La 0.1295 0.0000 0.6815 (multiplicity 4)  3 Ag 3.18-3.53, 2 Ni 3.35, 2 La 3.56
4 La 0.1657 0.5000 0.4707 (multiplicity 4)  1 Ni 2.83
5 Ni 0.0000 0.5000 0.5000 (multiplicity 2)  2 La 2.83
6 Ag 0.2226 0.0000 0.0954 (multiplicity 4)  6 La 3.11-3.32

***

The structure with the least stability is <two>.

***

<one>
A plane-wave DFT calculation with PBE-GGA was carried out for an optimized crystal structure of La2NiAgPb.

Values from the calculation:
total moment: 0.00 μB/cell

Unit cell a=5.3225 b=5.3225 c=4.9375 alpha=90.00 beta=90.00 gamma=90.00
Last column: nearest neighbours and their distance in Å.
Space group P4/mmm (No. 123)
One atom of each set of equivalent atoms:
1 La 0.0000 0.5000 0.0000 (multiplicity 2)  2 Ni 2.66
2 Ni 0.0000 0.0000 0.0000 (multiplicity 1)  2 Ag 2.47, 4 La 2.66
3 Ag 0.0000 0.0000 0.5000 (multiplicity 1)  2 Ni 2.47
4 Pb 0.5000 0.5000 0.5000 (multiplicity 1)  8 La 3.63, 4 Ag 3.76

***

<two>
A plane-wave DFT calculation with PBE-GGA was carried out for an optimized crystal structure of La2NiAgPb.

Values from the calculation:
total moment: 0.42 μB/cell

Unit cell a=5.8055 b=5.8055 c=5.1095 alpha=90.00 beta=90.00 gamma=90.00
Last column: nearest neighbours and their distance in Å.
Space group P4/mmm (No. 123)
One atom of each set of equivalent atoms:
1 La 0.0000 0.5000 0.0000 (multiplicity 2)  2 Ag 2.90
2 Ni 0.0000 0.0000 0.5000 (multiplicity 1)  8 La 3.87, 4 Pb 4.11
3 Ag 0.5000 0.5000 0.0000 (multiplicity 1)  2 Pb 2.55
4 Pb 0.5000 0.5000 0.5000 (multiplicity 1)  2 Ag 2.55

***

The structure with the least stability is <two>.

***

<one>
A plane-wave DFT calculation with PBE-GGA was carried out for an optimized crystal structure of La3AgO.

Values from the calculation:
total moment: 0.00 μB/cell

Unit cell a=3.8905 b=13.1209 c=10.1230 alpha=90.00 beta=90.00 gamma=90.00
Last column: nearest neighbours and their distance in Å.
Space group Cmcm (No. 63)
One atom of each set of equivalent atoms:
1 La 0.0000 0.0548 0.2500 (multiplicity 4)  2 O 2.63
2 La 0.0000 0.3758 0.0526 (multiplicity 8)  2 O 2.59
3 Ag 0.0000 0.2469 0.7500 (multiplicity 4)  8 La 3.22-3.50
4 O 0.0000 0.0000 0.0000 (multiplicity 4)  6 La 2.59-2.63

***

<two>
A plane-wave DFT calculation with PBE-GGA was carried out for an optimized crystal structure of La3AgO.

Values from the calculation:
total moment: 0.00 μB/cell

Unit cell a=5.0481 b=5.0481 c=5.0481 alpha=90.00 beta=90.00 gamma=90.00
Last column: nearest neighbours and their distance in Å.
Space group Pm-3m (No. 221)
One atom of each set of equivalent atoms:
1 La 0.0000 0.0000 0.5000 (multiplicity 3)  2 O 2.52
2 Ag 0.5000 0.5000 0.5000 (multiplicity 1)  12 La 3.57
3 O 0.0000 0.0000 0.0000 (multiplicity 1)  6 La 2.52

***

The structure with the least stability is <two>.